(1)
# ReAuCl2 | Alexandria via LeMat-Bulk | PBE | relaxed
data_ReAuCl2
_chemical_formula_sum 'Re1 Au1 Cl2'
_cell_length_a 3.0373
_cell_length_b 3.0373
_cell_length_c 8.1412
_cell_angle_alpha 90.00
_cell_angle_beta 90.00
_cell_angle_gamma 90.00
_symmetry_space_group_name_H-M 'P 4 m m'
_symmetry_Int_Tables_number 99
loop_
_symmetry_equiv_pos_as_xyz
'x,y,z'
'-y,x,z'
'-x,-y,z'
'y,-x,z'
'-x,y,z'
'y,x,z'
'x,-y,z'
'-y,-x,z'
loop_
_atom_site_label
_atom_site_fract_x
_atom_site_fract_y
_atom_site_fract_z
Re1 0.0000 0.0000 0.0000
Au1 0.5000 0.5000 0.2253
Cl1 0.0000 0.0000 0.4513
Cl2 0.5000 0.5000 0.8254
# D(E_F)	2.88	states/eV/f.u.
# theoretical density	10.0	Mg/m³
# total moment	0.00	Bohr magnetons per cell
# total energy	-4.3474	eV per atom
# V	18.8	Å³/atom

---

(2)
# Cd2IrRh | Alexandria via LeMat-Bulk | PBE | relaxed
data_Cd2IrRh
_chemical_formula_sum 'Cd6 Ir3 Rh3'
_cell_length_a 2.8849
_cell_length_b 2.8849
_cell_length_c 28.6827
_cell_angle_alpha 90.00
_cell_angle_beta 90.00
_cell_angle_gamma 120.00
_symmetry_space_group_name_H-M 'R 3 m'
_symmetry_Int_Tables_number 160
_symmetry_space_group_name_Hall 'R 3 -2"'
loop_
_atom_site_label
_atom_site_fract_x
_atom_site_fract_y
_atom_site_fract_z
Cd1 0.0000 0.0000 0.0000
Cd2 0.0000 0.0000 0.2376
Ir1 0.0000 0.0000 0.4873
Rh1 0.0000 0.0000 0.7489
# D(E_F)	4.70	states/eV/f.u.
# theoretical density	12.5	Mg/m³
# energy of formation	0.14	eV per atom
# total moment	0.00	Bohr magnetons per cell
# V	17.2	Å³/atom

---

(3)
# La12Sm3Al | Alexandria via LeMat-Bulk | PBE | relaxed
data_La12Sm3Al
_chemical_formula_sum 'La12 Sm3 Al1'
_cell_length_a 5.1483
_cell_length_b 5.1483
_cell_length_c 20.8670
_cell_angle_alpha 90.00
_cell_angle_beta 90.00
_cell_angle_gamma 90.00
_symmetry_space_group_name_H-M 'P 4/m m m'
_symmetry_Int_Tables_number 123
_symmetry_space_group_name_Hall '-P 4 2'
loop_
_atom_site_label
_atom_site_fract_x
_atom_site_fract_y
_atom_site_fract_z
La1 0.0000 0.0000 0.0000
La2 0.0000 0.0000 0.2469
La3 0.0000 0.0000 0.5000
La4 0.0000 0.5000 0.1170
La5 0.0000 0.5000 0.3722
Sm1 0.5000 0.5000 0.2454
Sm2 0.5000 0.5000 0.5000
Al1 0.5000 0.5000 0.0000
# D(E_F)	23.06	states/eV/f.u.
# theoretical density	6.4	Mg/m³
# energy of formation	-0.03	eV per atom
# total moment	0.00	Bohr magnetons per cell
# V	34.6	Å³/atom